Entry from the Alexandria database: an optimized crystal structure of Pu2Al12Fe (PBE).

```
30
Lattice="5.871 0.000 0.000 0.000 5.871 0.000 0.000 0.000 16.302" Properties=species:S:1:pos:R:3 pbc="T T T"
Pu 1.468 4.403 3.950
Pu 1.468 4.403 12.352
Pu 4.403 1.468 3.950
Pu 4.403 1.468 12.352
Al 0.001 5.870 1.332
Al 5.870 0.001 14.970
Al 5.870 2.935 1.332
Al 0.001 2.936 14.970
Al 0.453 3.389 6.994
Al 0.453 5.418 9.308
Al 1.468 1.468 3.006
Al 1.468 1.468 5.476
Al 1.468 1.468 10.826
Al 1.468 1.468 13.295
Al 2.482 3.389 9.308
Al 2.482 5.418 6.994
Al 2.936 0.001 1.332
Al 2.935 5.870 14.970
Al 2.935 2.936 1.332
Al 2.936 2.935 14.970
Al 3.389 0.453 9.308
Al 3.389 2.482 6.994
Al 4.403 4.403 3.006
Al 4.403 4.403 5.476
Al 4.403 4.403 10.826
Al 4.403 4.403 13.295
Al 5.418 0.453 6.994
Al 5.418 2.482 9.308
Fe 1.468 4.403 0.000
Fe 4.403 1.468 0.000
```

## Properties
Total moment = 0.66 μB/atom
ΔH_f (0 K) = -150 meV/atom
Symmetry = P4/nbm
Calculated total energy = -5.6194 eV/atom

=====

Entry from the Alexandria database: an optimized crystal structure of Pu2AlFe4 (PBE).

```
7
Lattice="4.080 -2.615 0.000 4.080 2.615 0.000 -1.197 0.000 5.875" Properties=species:S:1:pos:R:3 pbc="T T T"
Pu 0.465 0.000 1.625
Pu 6.498 0.000 4.250
Al 4.080 0.000 0.000
Fe 2.040 1.307 0.000
Fe 1.025 0.000 3.820
Fe 2.040 -1.307 0.000
Fe 5.938 0.000 2.055
```

## Properties
Total moment = 0.47 μB/atom
ΔH_f (0 K) = 261 meV/atom
Symmetry = C2/m
Calculated total energy = -9.2044 eV/atom

=====

Entry from the Alexandria database: an optimized crystal structure of PuAl3Fe (PBE).

```
5
Lattice="4.511 0.000 0.000 0.000 4.511 0.000 0.000 0.000 4.511" Properties=species:S:1:pos:R:3 pbc="T T T"
Pu 0.000 0.000 0.000
Al 0.000 2.255 2.255
Al 2.255 0.000 2.255
Al 2.255 2.255 0.000
Fe 2.255 2.255 2.255
```

## Properties
Offset from the most stable computed form = 0.0 meV per atom
Total moment = 1.22 μB/atom
ΔH_f (0 K) = -226 meV/atom
Symmetry = Pm-3m
Calculated total energy = -7.0305 eV/atom

=====

Entry from the Alexandria database: an optimized crystal structure of PuAl2Fe (PBE).

```
4
Lattice="1.355 0.783 9.544 -1.355 0.783 9.544 0.000 -1.565 9.544" Properties=species:S:1:pos:R:3 pbc="T T T"
Pu 0.000 0.000 0.000
Al 0.000 0.000 6.836
Al 0.000 0.000 21.797
Fe 0.000 0.000 14.316
```

## Properties
Total moment = 1.00 μB/atom
ΔH_f (0 K) = -30 meV/atom
Symmetry = R-3m
Calculated total energy = -7.6002 eV/atom

=====

Entry from the Alexandria database: an optimized crystal structure of PuAl9Fe2 (PBE).

```
24
Lattice="-5.293 5.293 3.375 5.293 -5.293 3.375 5.293 5.293 -3.375" Properties=species:S:1:pos:R:3 pbc="T T T"
Pu 5.293 2.647 0.844
Pu 0.000 2.647 2.531
Al 5.293 -2.647 2.531
Al 3.998 -0.561 1.284
Al 6.588 -0.561 1.284
Al 2.085 1.351 0.403
Al 8.501 1.351 0.403
Al 3.998 4.732 -1.284
Al 1.295 -0.561 2.091
Al 2.085 3.942 0.403
Al 3.208 -1.351 3.778
Al 2.085 6.645 -0.403
Al 3.208 1.351 2.972
Al 3.998 5.854 1.284
Al 1.295 0.561 4.659
Al -3.208 3.942 2.972
Al 3.208 3.942 2.972
Al -1.295 5.854 2.091
Al 1.295 5.854 2.091
Al 0.000 7.940 0.844
Fe 0.000 0.000 0.000
Fe 2.647 2.647 -1.687
Fe 2.647 -2.647 1.687
Fe 0.000 5.293 0.000
```

## Properties
Total moment = 0.54 μB/atom
ΔH_f (0 K) = -285 meV/atom
Symmetry = I4_1/amd
Calculated total energy = -5.6967 eV/atom

=====

Entry from the Alexandria database: an optimized crystal structure of PuAl11Fe (PBE).

```
13
Lattice="2.587 -6.284 0.000 2.587 6.284 0.000 -2.429 0.000 6.595" Properties=species:S:1:pos:R:3 pbc="T T T"
Pu 0.000 0.000 0.000
Al -1.215 0.000 3.298
Al 1.293 3.142 0.000
Al 0.131 2.144 2.380
Al 0.166 1.326 5.109
Al 0.131 -2.144 2.380
Al 2.578 1.326 1.486
Al 1.293 -3.142 0.000
Al 0.166 -1.326 5.109
Al 2.613 2.144 4.216
Al 2.578 -1.326 1.486
Al 2.613 -2.144 4.216
Fe 1.372 0.000 3.298
```

## Properties
Total moment = 0.45 μB/atom
ΔH_f (0 K) = -175 meV/atom
Symmetry = C2/m
Calculated total energy = -5.0948 eV/atom